Density functional theory data (PBE) for OsBr after structural relaxation.

Lattice parameters (Å, degrees): 6.6482 6.6482 8.1809 57.65 57.65 25.97
With the nearest neighbours (Å) after each atom.
Fractional coordinates of all 6 atoms:
Os  0.0792  0.0792  0.5196  3 Br 2.50-2.80, 3 Os 2.55-2.65
Os  0.2769  0.2769  0.1573  3 Os 2.53-2.65, 4 Br 2.63-2.71
Os  0.7642  0.7642  0.4175  4 Os 2.53-2.55, 2 Br 2.70
Br  0.4016  0.4016  0.5048  4 Os 2.70-2.80, 2 Br 2.99
Br  0.9693  0.9693  0.8842  3 Os 2.50-2.71
Br  0.6755  0.6755  0.0166  2 Os 2.63

Computed properties:
The spin magnetization is 0.00 μB/atom. The energy relative to the lowest polymorph listed for this composition is 0.370 eV/atom. The calculation puts the formation energy without anion corrections at 780 meV per atom.

---

Density functional theory data (PBE) for OsBr3 after structural relaxation.

Lattice parameters (Å, degrees): 8.5657 8.5657 6.6996 90.00 90.00 120.00
With the nearest neighbours (Å) after each atom.
Fractional coordinates of all 16 atoms:
Br  0.5000  0.0000  0.0000  2 Os 2.99, 4 Br 3.30
Br  0.1243  0.8757  0.7500  2 Os 2.49
Br  0.5000  0.0000  0.5000  2 Os 2.99, 4 Br 3.30
Br  0.8757  0.7515  0.2500  2 Os 2.49
Br  0.0000  0.5000  0.0000  2 Os 2.99, 4 Br 3.30
Br  0.0000  0.5000  0.5000  2 Os 2.99, 4 Br 3.30
Br  0.5000  0.5000  0.0000  2 Os 2.99, 4 Br 3.30
Br  0.1243  0.2485  0.7500  2 Os 2.49
Br  0.5000  0.5000  0.5000  2 Os 2.99, 4 Br 3.30
Br  0.7515  0.8757  0.7500  2 Os 2.49
Br  0.8757  0.1243  0.2500  2 Os 2.49
Br  0.2485  0.1243  0.2500  2 Os 2.49
Os  0.0000  0.0000  0.0000  6 Br 2.49
Os  0.6667  0.3333  0.7500  6 Br 2.99
Os  0.0000  0.0000  0.5000  6 Br 2.49
Os  0.3333  0.6667  0.2500  6 Br 2.99

Computed properties:
The spin magnetization is 0.47 μB/atom. The calculation puts the formation energy without anion corrections at 697 meV per atom.

---

Density functional theory data (PBE) for Os3Br after structural relaxation.

Lattice parameters (Å, degrees): 4.5611 4.5611 4.5611 90.00 90.00 90.00
With the nearest neighbours (Å) after each atom.
Fractional coordinates of all 4 atoms:
Br  0.0000  0.0000  0.0000  6 Os 2.28
Os  0.0000  0.5000  0.0000  2 Br 2.28
Os  0.5000  0.0000  0.0000  2 Br 2.28
Os  0.0000  0.0000  0.5000  2 Br 2.28

Computed properties:
The spin magnetization is 0.49 μB/atom. The energy relative to the lowest polymorph listed for this composition is 2.700 eV/atom. The calculation puts the formation energy without anion corrections at 3464 meV per atom.

---

Density functional theory data (PBE) for OsBr after structural relaxation.

Lattice parameters (Å, degrees): 11.6993 11.6993 3.6872 90.00 90.00 90.00
With the nearest neighbours (Å) after each atom.
Fractional coordinates of all 16 atoms:
Os  0.7928  0.7928  0.5000  2 Os 2.33, 2 Br 2.51
Os  0.7928  0.2072  0.5000  2 Os 2.33, 2 Br 2.51
Os  0.7072  0.2928  0.0000  2 Os 2.33, 2 Br 2.51
Os  0.2928  0.7072  0.0000  2 Os 2.33, 2 Br 2.51
Os  0.7072  0.7072  0.0000  2 Os 2.33, 2 Br 2.51
Os  0.2072  0.7928  0.5000  2 Os 2.33, 2 Br 2.51
Os  0.2072  0.2072  0.5000  2 Os 2.33, 2 Br 2.51
Os  0.2928  0.2928  0.0000  2 Os 2.33, 2 Br 2.51
Br  0.7615  0.5000  0.0000  2 Os 2.51
Br  0.7385  0.0000  0.5000  2 Os 2.51
Br  0.5000  0.7615  0.0000  2 Os 2.51
Br  0.2615  0.0000  0.5000  2 Os 2.51
Br  0.0000  0.7385  0.5000  2 Os 2.51
Br  0.5000  0.2385  0.0000  2 Os 2.51
Br  0.2385  0.5000  0.0000  2 Os 2.51
Br  0.0000  0.2615  0.5000  2 Os 2.51

Computed properties:
The spin magnetization is 0.00 μB/atom. The energy relative to the lowest polymorph listed for this composition is 0.340 eV/atom. The calculation puts the formation energy without anion corrections at 750 meV per atom.

---

Density functional theory data (PBE) for OsBr after structural relaxation.

Lattice parameters (Å, degrees): 10.1418 10.1418 3.6580 90.00 90.00 90.00
With the nearest neighbours (Å) after each atom.
Fractional coordinates of all 16 atoms:
Br  0.7787  0.9779  0.0000  3 Os 2.57-2.68
Br  0.6699  0.2977  0.5000  3 Os 2.71-2.83
Br  0.7023  0.6699  0.5000  3 Os 2.71-2.83
Br  0.2977  0.3301  0.5000  3 Os 2.71-2.83
Br  0.3301  0.7023  0.5000  3 Os 2.71-2.83
Br  0.9779  0.2213  0.0000  3 Os 2.57-2.68
Br  0.0221  0.7787  0.0000  3 Os 2.57-2.68
Br  0.2213  0.0221  0.0000  3 Os 2.57-2.68
Os  0.4040  0.0850  0.5000  5 Os 2.47-2.74, 3 Br 2.68-2.71
Os  0.8866  0.5646  0.0000  5 Os 2.47-2.74, 1 Br 2.57
Os  0.4354  0.8866  0.0000  5 Os 2.47-2.74, 1 Br 2.57
Os  0.0850  0.5960  0.5000  5 Os 2.47-2.74, 3 Br 2.68-2.71
Os  0.1134  0.4354  0.0000  5 Os 2.47-2.74, 1 Br 2.57
Os  0.9150  0.4040  0.5000  5 Os 2.47-2.74, 3 Br 2.68-2.71
Os  0.5646  0.1134  0.0000  5 Os 2.47-2.74, 1 Br 2.57
Os  0.5960  0.9150  0.5000  5 Os 2.47-2.74, 3 Br 2.68-2.71

Computed properties:
The spin magnetization is 0.00 μB/atom. The energy relative to the lowest polymorph listed for this composition is 0.113 eV/atom. The calculation puts the formation energy without anion corrections at 522 meV per atom.

---

Density functional theory data (PBE) for OsBr after structural relaxation.

Lattice parameters (Å, degrees): 4.8345 4.8345 6.9739 73.74 73.74 41.74
With the nearest neighbours (Å) after each atom.
Fractional coordinates of all 4 atoms:
Os  0.5394  0.5394  0.3639  2 Os 2.35
Os  0.2106  0.2106  0.3861  2 Os 2.35
Br  0.9584  0.9584  0.1137  4 Os 2.70-3.01
Br  0.7916  0.7916  0.6363  4 Os 2.70-3.01

Computed properties:
The spin magnetization is 0.00 μB/atom. The energy relative to the lowest polymorph listed for this composition is 0.550 eV/atom. The calculation puts the formation energy without anion corrections at 960 meV per atom.

---

Density functional theory data (PBE) for Os4Br5 after structural relaxation.

Lattice parameters (Å, degrees): 7.7490 7.7490 7.7490 92.98 92.98 153.63
With the nearest neighbours (Å) after each atom.
Fractional coordinates of all 9 atoms:
Br  0.3349  0.6651  0.0000  4 Br 3.05-3.11, 4 Os 3.38
Br  0.3349  0.3349  0.6698  4 Br 3.05-3.11, 4 Os 3.38
Br  0.6651  0.6651  0.3302  4 Br 3.05-3.11, 4 Os 3.38
Br  0.6651  0.3349  0.0000  4 Br 3.05-3.11, 4 Os 3.38
Br  0.0000  0.0000  0.0000  8 Br 3.05
Os  0.6216  0.0000  0.6216  5 Os 2.55-2.59
Os  0.0000  0.6216  0.6216  5 Os 2.55-2.59
Os  0.3784  0.0000  0.3784  5 Os 2.55-2.59
Os  0.0000  0.3784  0.3784  5 Os 2.55-2.59

Computed properties:
The spin magnetization is 0.00 μB/atom. The calculation puts the formation energy without anion corrections at 1292 meV per atom.

---

Density functional theory data (PBE) for OsBr after structural relaxation.

Lattice parameters (Å, degrees): 3.9764 3.9764 3.9764 60.00 60.00 60.00
With the nearest neighbours (Å) after each atom.
Fractional coordinates of all 2 atoms:
Br  0.0000  0.0000  0.0000  4 Os 2.44
Os  0.7500  0.7500  0.7500  4 Br 2.44

Computed properties:
The spin magnetization is 0.00 μB/atom. The energy relative to the lowest polymorph listed for this composition is 1.476 eV/atom. The calculation puts the formation energy without anion corrections at 1886 meV per atom.

---

Density functional theory data (PBE) for OsBr after structural relaxation.

Lattice parameters (Å, degrees): 4.8230 4.8230 3.1791 90.00 90.00 90.00
With the nearest neighbours (Å) after each atom.
Fractional coordinates of all 4 atoms:
Br  0.2500  0.7500  0.0000  4 Os 2.53
Br  0.7500  0.2500  0.0000  4 Os 2.53
Os  0.2500  0.2500  0.2359  4 Br 2.53
Os  0.7500  0.7500  0.7641  4 Br 2.53

Computed properties:
The spin magnetization is 0.00 μB/atom. The energy relative to the lowest polymorph listed for this composition is 1.428 eV/atom. The calculation puts the formation energy without anion corrections at 1838 meV per atom.

---

Density functional theory data (PBE) for Os3Br after structural relaxation.

Lattice parameters (Å, degrees): 5.3061 5.3061 5.3061 149.14 124.11 65.22
With the nearest neighbours (Å) after each atom.
Fractional coordinates of all 4 atoms:
Os  0.4844  0.5000  0.9844  2 Br 2.57, 6 Os 2.63-2.82
Os  0.4174  0.7695  0.6480  9 Os 2.63-2.93, 3 Br 2.83-2.88
Os  0.8785  0.2305  0.6480  9 Os 2.63-2.93, 3 Br 2.83-2.88
Br  0.0530  0.0000  0.0530  6 Os 2.57-2.83, 2 Br 2.82

Computed properties:
The spin magnetization is 0.00 μB/atom. The energy relative to the lowest polymorph listed for this composition is 0.407 eV/atom. The calculation puts the formation energy without anion corrections at 1171 meV per atom.

---

Density functional theory data (PBE) for OsBr after structural relaxation.

Lattice parameters (Å, degrees): 3.5460 2.8522 9.4398 90.00 90.00 90.00
With the nearest neighbours (Å) after each atom.
Fractional coordinates of all 4 atoms:
Br  0.0000  0.0000  0.0559  1 Os 2.44
Br  0.5000  0.5000  0.6941  1 Os 2.44
Os  0.0000  0.0000  0.3147  1 Br 2.44, 4 Os 2.54
Os  0.5000  0.5000  0.4353  1 Br 2.44, 4 Os 2.54

Computed properties:
The spin magnetization is 0.00 μB/atom. The energy relative to the lowest polymorph listed for this composition is 0.006 eV/atom. The calculation puts the formation energy without anion corrections at 416 meV per atom.

---

Density functional theory data (PBE) for OsBr after structural relaxation.

Lattice parameters (Å, degrees): 3.5134 5.1356 11.5841 90.00 90.00 90.00
With the nearest neighbours (Å) after each atom.
Fractional coordinates of all 8 atoms:
Br  0.2500  0.4695  0.3674  3 Os 2.57-2.81
Br  0.2500  0.0305  0.8674  3 Os 2.57-2.81
Br  0.7500  0.9695  0.1326  3 Os 2.57-2.81
Br  0.7500  0.5305  0.6326  3 Os 2.57-2.81
Os  0.7500  0.3544  0.9906  2 Os 2.32, 1 Br 2.57
Os  0.7500  0.1456  0.4906  2 Os 2.32, 1 Br 2.57
Os  0.2500  0.8544  0.5094  2 Os 2.32, 1 Br 2.57
Os  0.2500  0.6456  0.0094  2 Os 2.32, 1 Br 2.57

Computed properties:
The spin magnetization is 0.00 μB/atom. The energy relative to the lowest polymorph listed for this composition is 0.415 eV/atom. The calculation puts the formation energy without anion corrections at 824 meV per atom.

---

Density functional theory data (PBE) for Os3Br after structural relaxation.

Lattice parameters (Å, degrees): 4.6986 4.6986 2.8144 90.00 90.00 90.00
With the nearest neighbours (Å) after each atom.
Fractional coordinates of all 4 atoms:
Os  0.5000  0.0000  0.5000  6 Os 2.74-2.81, 4 Br 2.74
Os  0.5000  0.5000  0.0000  10 Os 2.74-2.81
Os  0.0000  0.5000  0.5000  6 Os 2.74-2.81, 4 Br 2.74
Br  0.0000  0.0000  0.0000  8 Os 2.74, 2 Br 2.81

Computed properties:
The spin magnetization is 0.00 μB/atom. The energy relative to the lowest polymorph listed for this composition is 0.653 eV/atom. The calculation puts the formation energy without anion corrections at 1416 meV per atom.

---

Table of VASP energy (eV per atom), in record order: -5.67 -3.37 -5.38 -5.70 -5.93 -5.49 -4.63 -4.57 -4.61 -7.67 -6.04 -5.63 -7.42